Entry 1:
The following is a PBE calculation of crystalline BaLi4I6 at its relaxed geometry, from Alexandria via LeMat-Bulk.

Results
E_form (uncorrected): -14.64 eV per formula unit
Space group: Cmcm (63)

a b c (Å): 4.5387 7.5437 21.8712
angles (deg): 90.00 90.00 107.51
Fractional coordinates of all 22 atoms:
Ba  0.6635  0.3269  0.2500
Ba  0.3365  0.6731  0.7500
Li  0.8638  0.7275  0.5363
Li  0.4024  0.8048  0.1192
Li  0.1362  0.2725  0.4637
Li  0.5976  0.1952  0.8808
Li  0.8638  0.7275  0.9637
Li  0.1362  0.2725  0.0363
Li  0.5976  0.1952  0.6192
Li  0.4024  0.8048  0.3808
I  0.5000  0.0000  0.0000
I  0.5000  0.0000  0.5000
I  0.0496  0.0993  0.3461
I  0.9504  0.9007  0.6539
I  0.9504  0.9007  0.8461
I  0.0496  0.0993  0.1539
I  0.7770  0.5540  0.4167
I  0.2230  0.4460  0.5833
I  0.2230  0.4460  0.9167
I  0.7770  0.5540  0.0833
I  0.3438  0.6877  0.2500
I  0.6562  0.3123  0.7500

---

Entry 2:
The following is a PBE calculation of crystalline BaLi3I at its relaxed geometry, from Alexandria via LeMat-Bulk.

Results
E_form (uncorrected): 3.02 eV per formula unit
Polymorph energy (0 for the lowest one): 758.2 meV/atom
Space group: Pm-3m (221)

a b c (Å): 6.6601 6.6601 6.6601
angles (deg): 90.00 90.00 90.00
Fractional coordinates of all 5 atoms:
I  0.5000  0.5000  0.5000
Ba  0.0000  0.0000  0.0000
Li  0.0000  0.5000  0.0000
Li  0.0000  0.0000  0.5000
Li  0.5000  0.0000  0.0000

---

Entry 3:
The following is a PBE calculation of crystalline BaLi2I at its relaxed geometry, from Alexandria via LeMat-Bulk.

Results
E_form (uncorrected): -0.61 eV per formula unit
Polymorph energy (0 for the lowest one): 244.3 meV/atom
Space group: Fm-3m (225)

a b c (Å): 5.7046 5.7046 5.7046
angles (deg): 60.00 60.00 60.00
Fractional coordinates of all 4 atoms:
I  0.0000  0.0000  0.0000
Ba  0.5000  0.5000  0.5000
Li  0.2500  0.2500  0.2500
Li  0.7500  0.7500  0.7500

---

Entry 4:
The following is a PBE calculation of crystalline BaLiI2 at its relaxed geometry, from Alexandria via LeMat-Bulk.

Results
E_form (uncorrected): -4.87 eV per formula unit
Polymorph energy (0 for the lowest one): 0.0 meV/atom
Space group: R3m (160)

a b c (Å): 4.4346 4.4346 8.8778
angles (deg): 75.54 75.54 60.00
Fractional coordinates of all 4 atoms:
Ba  0.5000  0.5000  0.5000
Li  0.6673  0.6673  0.9981
I  0.0652  0.0652  0.8044
I  0.2675  0.2675  0.1976

---

Entry 5:
The following is a PBE calculation of crystalline Ba2LiI2 at its relaxed geometry, from Alexandria via LeMat-Bulk.

Results
E_form (uncorrected): -4.20 eV per formula unit
Polymorph energy (0 for the lowest one): 73.7 meV/atom
Space group: P4/mbm (127)

a b c (Å): 9.9556 9.9556 4.3240
angles (deg): 90.00 90.00 90.00
Fractional coordinates of all 10 atoms:
I  0.1343  0.6343  0.5000
I  0.6343  0.8657  0.5000
I  0.8657  0.3657  0.5000
I  0.3657  0.1343  0.5000
Ba  0.3368  0.8368  0.0000
Ba  0.8368  0.6632  0.0000
Ba  0.6632  0.1632  0.0000
Ba  0.1632  0.3368  0.0000
Li  0.0000  0.0000  0.0000
Li  0.5000  0.5000  0.0000

---

Entry 6:
The following is a PBE calculation of crystalline BaLi2I at its relaxed geometry, from Alexandria via LeMat-Bulk.

Results
E_form (uncorrected): -1.59 eV per formula unit
Polymorph energy (0 for the lowest one): 0.0 meV/atom
Space group: I-42d (122)

a b c (Å): 9.2982 9.2982 7.4320
angles (deg): 51.28 51.28 90.00
Fractional coordinates of all 8 atoms:
I  0.5000  0.5000  0.0000
I  0.2500  0.7500  0.5000
Ba  0.0000  0.0000  0.0000
Ba  0.7500  0.2500  0.5000
Li  0.5574  0.1250  0.2500
Li  0.1926  0.6250  0.2500
Li  0.3750  0.4426  0.7500
Li  0.8750  0.8074  0.7500

---

Entry 7:
The following is a PBE calculation of crystalline BaLiI2 at its relaxed geometry, from Alexandria via LeMat-Bulk.

Results
E_form (uncorrected): -4.30 eV per formula unit
Polymorph energy (0 for the lowest one): 141.4 meV/atom
Space group: I-42d (122)

a b c (Å): 7.5235 7.5235 8.3745
angles (deg): 63.31 63.31 90.00
Fractional coordinates of all 8 atoms:
I  0.5425  0.1250  0.2500
I  0.2075  0.6250  0.2500
I  0.3750  0.4575  0.7500
I  0.8750  0.7925  0.7500
Ba  0.0000  0.0000  0.0000
Ba  0.7500  0.2500  0.5000
Li  0.5000  0.5000  0.0000
Li  0.2500  0.7500  0.5000

---

Entry 8:
The following is a PBE calculation of crystalline BaLi3I at its relaxed geometry, from Alexandria via LeMat-Bulk.

Results
E_form (uncorrected): -0.77 eV per formula unit
Polymorph energy (0 for the lowest one): 0.0 meV/atom
Space group: Pm-3m (221)

a b c (Å): 5.6426 5.6426 5.6426
angles (deg): 90.00 90.00 90.00
Fractional coordinates of all 5 atoms:
I  0.0000  0.0000  0.0000
Ba  0.5000  0.5000  0.5000
Li  0.0000  0.5000  0.0000
Li  0.0000  0.0000  0.5000
Li  0.5000  0.0000  0.0000

---

Entry 9:
The following is a PBE calculation of crystalline Ba2LiI at its relaxed geometry, from Alexandria via LeMat-Bulk.

Results
E_form (uncorrected): -1.70 eV per formula unit
Polymorph energy (0 for the lowest one): 139.4 meV/atom
Space group: I-42d (122)

a b c (Å): 9.4114 9.4114 8.0986
angles (deg): 54.48 54.48 90.00
Fractional coordinates of all 8 atoms:
I  0.0000  0.0000  0.0000
I  0.7500  0.2500  0.5000
Ba  0.6265  0.1250  0.2500
Ba  0.1235  0.6250  0.2500
Ba  0.3750  0.3735  0.7500
Ba  0.8750  0.8765  0.7500
Li  0.5000  0.5000  0.0000
Li  0.2500  0.7500  0.5000

---

Entry 10:
The following is a PBE calculation of crystalline Ba2Li2I at its relaxed geometry, from Alexandria via LeMat-Bulk.

Results
E_form (uncorrected): -1.74 eV per formula unit
Polymorph energy (0 for the lowest one): 153.1 meV/atom
Space group: P4/mbm (127)

a b c (Å): 9.7242 9.7242 4.7970
angles (deg): 90.00 90.00 90.00
Fractional coordinates of all 10 atoms:
I  0.0000  0.0000  0.0000
I  0.5000  0.5000  0.0000
Ba  0.3171  0.8171  0.0000
Ba  0.8171  0.6829  0.0000
Ba  0.6829  0.1829  0.0000
Ba  0.1829  0.3171  0.0000
Li  0.1032  0.6032  0.5000
Li  0.6032  0.8968  0.5000
Li  0.8968  0.3968  0.5000
Li  0.3968  0.1032  0.5000

---

Repeat the fourth record exactly.
The following is a PBE calculation of crystalline BaLiI2 at its relaxed geometry, from Alexandria via LeMat-Bulk.

Results
E_form (uncorrected): -4.87 eV per formula unit
Polymorph energy (0 for the lowest one): 0.0 meV/atom
Space group: R3m (160)

a b c (Å): 4.4346 4.4346 8.8778
angles (deg): 75.54 75.54 60.00
Fractional coordinates of all 4 atoms:
Ba  0.5000  0.5000  0.5000
Li  0.6673  0.6673  0.9981
I  0.0652  0.0652  0.8044
I  0.2675  0.2675  0.1976

---

> The highest E_form (uncorrected) belongs to which entry?

number 2